Ca12H5Ru3 (PBE-GGA, relaxed); electronic total energy = -281.11 eV/cell; volume = 23.15 A^3/atom
1.0
-7.736 7.736 7.736
7.736 -7.736 7.736
7.736 7.736 -7.736
Ca H Ru
48 20 12
Cartesian
2.406 -0.448 0.889 Ca
9.198 4.757 -4.315 Ca
10.142 0.448 0.889 Ca
9.198 -2.979 4.315 Ca
7.288 -0.889 2.406 Ca
12.051 -1.462 2.979 Ca
0.889 2.406 -0.448 Ca
10.715 3.420 -1.462 Ca
4.757 4.315 -1.462 Ca
6.847 2.406 0.448 Ca
-0.448 0.889 2.406 Ca
4.315 -1.462 4.757 Ca
7.288 6.847 -2.406 Ca
4.315 1.462 2.979 Ca
4.757 -4.315 9.198 Ca
6.847 -2.406 7.288 Ca
2.979 4.315 1.462 Ca
8.625 5.330 0.448 Ca
4.315 9.198 -2.979 Ca
7.288 0.889 5.330 Ca
2.406 7.288 -0.889 Ca
9.198 2.979 3.420 Ca
1.462 2.979 4.315 Ca
2.406 0.448 6.847 Ca
5.330 7.288 0.889 Ca
6.274 4.757 3.420 Ca
-1.462 4.757 4.315 Ca
5.330 0.448 8.625 Ca
0.448 6.847 2.406 Ca
3.420 -1.462 10.715 Ca
-0.889 2.406 7.288 Ca
4.757 3.420 6.274 Ca
0.889 10.142 0.448 Ca
2.979 12.051 -1.462 Ca
3.420 6.274 4.757 Ca
0.448 0.889 10.142 Ca
3.420 9.198 2.979 Ca
8.183 6.847 5.330 Ca
0.889 5.330 7.288 Ca
2.979 3.420 9.198 Ca
-2.979 4.315 9.198 Ca
6.847 5.330 8.183 Ca
-4.315 9.198 4.757 Ca
0.448 8.625 5.330 Ca
-1.462 10.715 3.420 Ca
-2.406 7.288 6.847 Ca
-1.462 2.979 12.051 Ca
5.330 8.183 6.847 Ca
0.000 0.000 0.000 H
3.868 3.868 -3.868 H
3.868 -3.868 3.868 H
7.736 0.000 0.000 H
11.604 1.934 0.000 H
7.736 -3.868 5.802 H
5.802 7.736 -3.868 H
5.802 0.000 3.868 H
3.868 5.802 0.000 H
7.736 3.868 1.934 H
-3.868 3.868 3.868 H
0.000 7.736 0.000 H
0.000 0.000 7.736 H
3.868 3.868 3.868 H
0.000 3.868 5.802 H
3.868 1.934 7.736 H
1.934 7.736 3.868 H
1.934 0.000 11.604 H
0.000 11.604 1.934 H
-3.868 5.802 7.736 H
3.868 1.934 0.000 Ru
7.736 3.868 -1.934 Ru
1.934 0.000 3.868 Ru
9.670 0.000 3.868 Ru
0.000 3.868 1.934 Ru
3.868 -1.934 7.736 Ru
3.868 9.670 0.000 Ru
7.736 3.868 5.802 Ru
-1.934 7.736 3.868 Ru
5.802 7.736 3.868 Ru
0.000 3.868 9.670 Ru
3.868 5.802 7.736 Ru

InOsSeBr2 (PBE-GGA, relaxed); raw formation energy = 557 kJ/mol of formula units; E above lowest polymorph = 989 meV/atom; volume = 31.51 A^3/atom
1.0
5.420 0.000 0.000
0.000 5.420 0.000
0.000 0.000 5.362
In Os Se Br
1 1 1 2
Cartesian
0.000 0.000 0.000 In
2.710 2.710 2.681 Os
0.000 0.000 2.681 Se
0.000 2.710 0.000 Br
2.710 0.000 0.000 Br